Entry w
The following is a DFT calculation (meta-GGA SCAN) of a PBEsol-optimized structure of OsRu2Rh.

The value obtained for the total magnetization is 0.00 μB per formula unit. As for the density of states at the Fermi level: 11.5 states/eV/cell.

It has space group R3m (No. 160, hexagonal axes), with a = 2.6750 Å, b = 2.6750 Å, c = 26.1932 Å, α = 90.00°, β = 90.00° and γ = 120.00°. The distinct sites, in fractional coordinates, are Os at (0.0000, 0.0000, 0.0000), Ru at (0.0000, 0.0000, 0.2506), Ru at (0.0000, 0.0000, 0.5019) and Rh at (0.0000, 0.0000, 0.7511).


Entry x
The following is a DFT calculation (meta-GGA SCAN) of a PBEsol-optimized structure of OsRu2Rh.

The value obtained for the total magnetization is 0.00 μB per formula unit. As for the density of states at the Fermi level: 3.2 states/eV/cell.

It has space group P4/mmm (No. 123), with a = 2.667 Å, b = 2.667 Å, c = 7.595 Å, α = 90.00°, β = 90.00° and γ = 90.00°. The distinct sites, in fractional coordinates, are Os at (0.000, 0.000, 0.000), Ru at (0.500, 0.500, 0.249) and Rh at (0.000, 0.000, 0.500).


Entry y
The following is a DFT calculation (meta-GGA SCAN) of a PBEsol-optimized structure of OsRu2Rh.

The value obtained for the total magnetization is 0.00 μB per formula unit. As for the density of states at the Fermi level: 6.8 states/eV/cell.

It has space group Cm (No. 8), with a = 8.871 Å, b = 2.669 Å, c = 4.635 Å, α = 90.00°, β = 99.97° and γ = 90.00°. The distinct sites, in fractional coordinates, are Os at (0.000, 0.000, 0.000), Ru at (0.249, 0.500, 0.247), Ru at (0.497, 0.000, 0.493) and Rh at (0.249, 0.000, 0.747).


Tell me which of them is the most stable. Sure, it is entry x.


Entry w
The following is a DFT calculation (meta-GGA SCAN) of a PBEsol-optimized structure of OsRu2Rh.

The value obtained for the total magnetization is 0.00 μB per formula unit. As for the density of states at the Fermi level: 6.8 states/eV/cell.

It has space group C2/m (No. 12), with a = 8.868 Å, b = 2.668 Å, c = 4.638 Å, α = 90.00°, β = 99.90° and γ = 90.00°. The distinct sites, in fractional coordinates, are Os at (0.000, 0.000, 0.000), Ru at (0.248, 0.500, 0.246) and Rh at (0.000, 0.500, 0.500).


Entry x
The following is a DFT calculation (meta-GGA SCAN) of a PBEsol-optimized structure of OsRu2Rh.

The value obtained for the total magnetization is 0.00 μB per formula unit. As for the density of states at the Fermi level: 3.0 states/eV/cell.

It has space group P4mm (No. 99), with a = 2.663 Å, b = 2.663 Å, c = 7.618 Å, α = 90.00°, β = 90.00° and γ = 90.00°. The distinct sites, in fractional coordinates, are Os at (0.000, 0.000, 0.000), Ru at (0.000, 0.000, 0.504), Ru at (0.500, 0.500, 0.751) and Rh at (0.500, 0.500, 0.253).


Tell me which of them is the most stable. Sure, it is entry w.


Entry w
The following is a DFT calculation (meta-GGA SCAN) of a PBEsol-optimized structure of OsRu2Rh.

The value obtained for the total magnetization is 0.00 μB per formula unit. As for the density of states at the Fermi level: 3.1 states/eV/cell.

It has space group Pmm2 (No. 25), with a = 2.666 Å, b = 3.794 Å, c = 5.341 Å, α = 90.00°, β = 90.00° and γ = 90.00°. The distinct sites, in fractional coordinates, are Os at (0.000, 0.000, 0.000), Ru at (0.000, 0.000, 0.507), Ru at (0.500, 0.500, 0.754) and Rh at (0.500, 0.500, 0.255).


Entry x
The following is a DFT calculation (meta-GGA SCAN) of a PBEsol-optimized structure of OsRu2Rh.

The value obtained for the total magnetization is 0.00 μB per formula unit. As for the density of states at the Fermi level: 3.3 states/eV/cell.

It has space group Pmmm (No. 47), with a = 2.670 Å, b = 3.784 Å, c = 5.351 Å, α = 90.00°, β = 90.00° and γ = 90.00°. The distinct sites, in fractional coordinates, are Os at (0.000, 0.000, 0.000), Ru at (0.500, 0.500, 0.247) and Rh at (0.000, 0.000, 0.500).


Tell me which of them is the most stable. Sure, it is entry x.